[1]
Computed, not measured: a crystal of Nb2CoH relaxed with PBEsol at the SCAN level of DFT.

Cell lengths 4.146, 4.146, 4.146 Å; angles 60.00, 60.00, 60.00 degrees
Element x y z (fractional)
1 H 0.000 0.000 0.000
2 Nb 0.250 0.250 0.250
3 Nb 0.750 0.750 0.750
4 Co 0.500 0.500 0.500

M_tot ... 0.0 μB per cell
E ... -85.63 eV per formula unit

---

[2]
Computed, not measured: a crystal of NbCo3H relaxed with PBEsol at the SCAN level of DFT.

Cell lengths 3.635, 3.635, 3.635 Å; angles 90.00, 90.00, 90.00 degrees
Element x y z (fractional)
1 H 0.000 0.000 0.000
2 Nb 0.500 0.500 0.500
3 Co 0.000 0.500 0.000
4 Co 0.000 0.000 0.500
5 Co 0.500 0.000 0.000

M_tot ... 0.9 μB per cell
E ... -88.60 eV per formula unit

---

[3]
Computed, not measured: a crystal of NbCo3H relaxed with PBEsol at the SCAN level of DFT.

Cell lengths 4.411, 4.411, 4.411 Å; angles 90.00, 90.00, 90.00 degrees
Element x y z (fractional)
1 H 0.500 0.500 0.500
2 Nb 0.000 0.000 0.000
3 Co 0.000 0.500 0.000
4 Co 0.000 0.000 0.500
5 Co 0.500 0.000 0.000

M_tot ... 3.0 μB per cell
E ... -77.21 eV per formula unit

---

[4]
Computed, not measured: a crystal of Nb2CoH2 relaxed with PBEsol at the SCAN level of DFT.

Cell lengths 2.885, 2.885, 6.416 Å; angles 102.99, 102.99, 90.00 degrees
Element x y z (fractional)
1 H 0.250 0.750 0.500
2 H 0.750 0.250 0.500
3 Nb 0.361 0.361 0.722
4 Nb 0.639 0.639 0.278
5 Co 0.000 0.000 0.000

M_tot ... 1.7 μB per cell
E ... -91.31 eV per formula unit

---

[5]
Computed, not measured: a crystal of CoNi3H relaxed with PBEsol at the SCAN level of DFT.

Cell lengths 3.527, 3.527, 3.527 Å; angles 90.00, 90.00, 90.00 degrees
Element x y z (fractional)
1 Ni 0.000 0.500 0.000
2 Ni 0.000 0.000 0.500
3 Ni 0.500 0.000 0.000
4 Co 0.500 0.500 0.500
5 H 0.000 0.000 0.000

M_tot ... 3.6 μB per cell
E ... -68.99 eV per formula unit

---

[6]
Computed, not measured: a crystal of CoNiH2 relaxed with PBEsol at the SCAN level of DFT.

Cell lengths 3.776, 3.776, 4.603 Å; angles 114.21, 114.21, 90.00 degrees
Element x y z (fractional)
1 Ni 0.250 0.750 0.500
2 Ni 0.000 0.000 0.000
3 Co 0.750 0.250 0.500
4 Co 0.500 0.500 0.000
5 H 0.373 0.875 0.250
6 H 0.877 0.375 0.250
7 H 0.125 0.123 0.750
8 H 0.625 0.627 0.750

M_tot ... 3.5 μB per cell
E ... -39.98 eV per formula unit

---

[7]
Computed, not measured: a crystal of TaCo2NiH relaxed with PBEsol at the SCAN level of DFT.

Cell lengths 3.543, 3.690, 3.690 Å; angles 90.00, 90.00, 90.00 degrees
Element x y z (fractional)
1 Ni 0.500 0.000 0.000
2 Ta 0.500 0.500 0.500
3 Co 0.000 0.000 0.500
4 Co 0.000 0.500 0.000
5 H 0.000 0.000 0.000

M_tot ... 0.0 μB per cell
E ... -121.45 eV per formula unit

---

[8]
Computed, not measured: a crystal of YCoNiH2 relaxed with PBEsol at the SCAN level of DFT.

Cell lengths 3.596, 3.596, 4.404 Å; angles 90.00, 90.00, 90.00 degrees
Element x y z (fractional)
1 Y 0.500 0.500 0.500
2 Ni 0.000 0.000 0.500
3 Co 0.000 0.000 0.000
4 H 0.000 0.500 0.000
5 H 0.500 0.000 0.000

M_tot ... 1.6 μB per cell
E ... -67.88 eV per formula unit

---

[9]
Computed, not measured: a crystal of Co3HO relaxed with PBEsol at the SCAN level of DFT.

Cell lengths 3.514, 3.514, 3.514 Å; angles 90.00, 90.00, 90.00 degrees
Element x y z (fractional)
1 H 0.000 0.000 0.000
2 Co 0.000 0.500 0.000
3 Co 0.000 0.000 0.500
4 Co 0.500 0.000 0.000
5 O 0.500 0.500 0.500

M_tot ... 6.2 μB per cell
E ... -60.66 eV per formula unit

---

[10]
Computed, not measured: a crystal of Co3P2H16O16 relaxed with PBEsol at the SCAN level of DFT.

Cell lengths 5.899, 8.713, 8.713 Å; angles 124.03, 102.45, 102.45 degrees
Element x y z (fractional)
1 Co 0.000 0.000 0.000
2 Co 0.000 0.811 0.189
3 Co 0.000 0.189 0.811
4 P 0.850 0.204 0.204
5 P 0.150 0.796 0.796
6 H 0.572 0.875 0.191
7 H 0.572 0.191 0.875
8 H 0.428 0.125 0.809
9 H 0.428 0.809 0.125
10 H 0.224 0.206 0.374
11 H 0.224 0.374 0.206
12 H 0.776 0.794 0.626
13 H 0.776 0.626 0.794
14 H 0.477 0.131 0.564
15 H 0.477 0.564 0.131
16 H 0.523 0.869 0.436
17 H 0.523 0.436 0.869
18 H 0.593 0.887 0.730
19 H 0.593 0.730 0.887
20 H 0.407 0.113 0.270
21 H 0.407 0.270 0.113
22 O 0.098 0.381 0.381
23 O 0.902 0.619 0.619
24 O 0.600 0.212 0.212
25 O 0.400 0.788 0.788
26 O 0.650 0.605 0.229
27 O 0.650 0.229 0.605
28 O 0.350 0.395 0.771
29 O 0.350 0.771 0.395
30 O 0.770 0.926 0.731
31 O 0.770 0.731 0.926
32 O 0.230 0.074 0.269
33 O 0.230 0.269 0.074
34 O 0.205 0.426 0.895
35 O 0.205 0.895 0.426
36 O 0.795 0.574 0.105
37 O 0.795 0.105 0.574

M_tot ... 4.1 μB per cell
E ... -252.37 eV per formula unit

---

[11]
Computed, not measured: a crystal of Co2PHO5 relaxed with PBEsol at the SCAN level of DFT.

Cell lengths 5.837, 7.763, 8.382 Å; angles 90.00, 90.00, 90.00 degrees
Element x y z (fractional)
1 Co 0.500 0.356 0.371
2 Co 0.500 0.644 0.629
3 Co 0.000 0.856 0.129
4 Co 0.000 0.144 0.871
5 Co 0.274 0.500 0.000
6 Co 0.226 0.000 0.500
7 Co 0.726 0.500 0.000
8 Co 0.774 0.000 0.500
9 P 0.000 0.252 0.243
10 P 0.000 0.748 0.757
11 P 0.500 0.752 0.257
12 P 0.500 0.248 0.743
13 H 0.500 0.252 0.085
14 H 0.500 0.748 0.915
15 H 0.000 0.752 0.415
16 H 0.000 0.248 0.585
17 O 0.000 0.108 0.114
18 O 0.000 0.892 0.886
19 O 0.500 0.608 0.386
20 O 0.500 0.392 0.614
21 O 0.000 0.425 0.153
22 O 0.000 0.575 0.847
23 O 0.500 0.925 0.347
24 O 0.500 0.075 0.653
25 O 0.211 0.230 0.355
26 O 0.211 0.770 0.645
27 O 0.289 0.730 0.145
28 O 0.289 0.270 0.855
29 O 0.789 0.770 0.645
30 O 0.789 0.230 0.355
31 O 0.711 0.270 0.855
32 O 0.711 0.730 0.145
33 O 0.500 0.368 0.131
34 O 0.500 0.632 0.869
35 O 0.000 0.868 0.369
36 O 0.000 0.132 0.631

M_tot ... 24.0 μB per cell
E ... -95.08 eV per formula unit

---

[12]
Computed, not measured: a crystal of Tl2CoP4H8O16 relaxed with PBEsol at the SCAN level of DFT.

Cell lengths 6.979, 7.383, 7.527 Å; angles 80.64, 73.22, 86.60 degrees
Element x y z (fractional)
1 Tl 0.117 0.723 0.810
2 Tl 0.883 0.277 0.190
3 Co 0.500 0.500 0.000
4 P 0.333 0.265 0.737
5 P 0.667 0.735 0.263
6 P 0.746 0.201 0.740
7 P 0.254 0.799 0.260
8 H 0.264 0.036 0.981
9 H 0.736 0.964 0.019
10 H 0.625 0.686 0.650
11 H 0.375 0.314 0.350
12 H 0.067 0.268 0.574
13 H 0.933 0.732 0.426
14 H 0.613 0.825 0.798
15 H 0.387 0.175 0.202
16 O 0.554 0.711 0.780
17 O 0.446 0.289 0.220
18 O 0.305 0.398 0.877
19 O 0.695 0.602 0.123
20 O 0.247 0.074 0.839
21 O 0.753 0.926 0.161
22 O 0.249 0.328 0.572
23 O 0.751 0.672 0.428
24 O 0.569 0.238 0.639
25 O 0.431 0.762 0.361
26 O 0.741 0.343 0.865
27 O 0.259 0.657 0.135
28 O 0.929 0.217 0.563
29 O 0.071 0.783 0.437
30 O 0.720 0.003 0.843
31 O 0.280 0.997 0.157

M_tot ... 3.0 μB per cell
E ... -384.48 eV per formula unit

---

[13]
Computed, not measured: a crystal of Rb2CoH12S2O14 relaxed with PBEsol at the SCAN level of DFT.

Cell lengths 6.231, 9.048, 12.218 Å; angles 89.73, 90.47, 105.02 degrees
Element x y z (fractional)
1 Rb 0.663 0.871 0.347
2 Rb 0.340 0.630 0.846
3 Rb 0.337 0.129 0.653
4 Rb 0.660 0.370 0.154
5 Co 0.000 0.500 0.500
6 Co 0.000 0.000 0.000
7 H 0.675 0.470 0.643
8 H 0.321 0.024 0.145
9 H 0.325 0.530 0.357
10 H 0.679 0.976 0.855
11 H 0.670 0.609 0.562
12 H 0.340 0.898 0.057
13 H 0.084 0.779 0.403
14 H 0.917 0.719 0.904
15 H 0.916 0.221 0.597
16 H 0.083 0.281 0.096
17 H 0.915 0.253 0.373
18 H 0.083 0.242 0.872
19 H 0.085 0.747 0.627
20 H 0.917 0.758 0.128
21 H 0.678 0.283 0.409
22 H 0.320 0.209 0.906
23 H 0.322 0.717 0.591
24 H 0.680 0.791 0.094
25 H 0.985 0.847 0.812
26 H 0.019 0.651 0.309
27 H 0.660 0.102 0.943
28 H 0.330 0.391 0.438
29 H 0.981 0.349 0.691
30 H 0.015 0.153 0.188
31 S 0.722 0.400 0.862
32 S 0.273 0.097 0.362
33 S 0.278 0.600 0.138
34 S 0.727 0.903 0.638
35 O 0.166 0.667 0.614
36 O 0.162 0.161 0.883
37 O 0.981 0.178 0.111
38 O 0.016 0.325 0.614
39 O 0.019 0.822 0.889
40 O 0.984 0.675 0.386
41 O 0.707 0.005 0.934
42 O 0.838 0.839 0.117
43 O 0.293 0.995 0.066
44 O 0.711 0.509 0.566
45 O 0.059 0.126 0.324
46 O 0.937 0.373 0.827
47 O 0.941 0.874 0.676
48 O 0.063 0.627 0.173
49 O 0.398 0.227 0.431
50 O 0.597 0.270 0.931
51 O 0.602 0.773 0.569
52 O 0.403 0.730 0.069
53 O 0.231 0.955 0.429
54 O 0.762 0.542 0.928
55 O 0.769 0.045 0.571
56 O 0.238 0.458 0.072
57 O 0.289 0.491 0.434
58 O 0.584 0.411 0.764
59 O 0.588 0.916 0.734
60 O 0.416 0.589 0.236
61 O 0.834 0.333 0.386
62 O 0.412 0.084 0.266

M_tot ... 0.0 μB per cell
E ... -250.16 eV per formula unit

---

[14]
Computed, not measured: a crystal of Rb2CoH12Se2O14 relaxed with PBEsol at the SCAN level of DFT.

Cell lengths 6.355, 9.201, 12.450 Å; angles 90.00, 90.00, 104.80 degrees
Element x y z (fractional)
1 Rb 0.338 0.133 0.656
2 Rb 0.662 0.367 0.156
3 Rb 0.662 0.867 0.344
4 Rb 0.338 0.633 0.844
5 Co 0.000 0.000 0.000
6 Co 0.000 0.500 0.500
7 H 0.318 0.202 0.909
8 H 0.682 0.298 0.409
9 H 0.682 0.798 0.091
10 H 0.318 0.702 0.591
11 H 0.091 0.239 0.872
12 H 0.909 0.261 0.372
13 H 0.909 0.761 0.128
14 H 0.091 0.739 0.628
15 H 0.923 0.725 0.907
16 H 0.077 0.775 0.407
17 H 0.077 0.275 0.093
18 H 0.923 0.225 0.593
19 H 0.995 0.849 0.815
20 H 0.005 0.651 0.315
21 H 0.005 0.151 0.185
22 H 0.995 0.349 0.685
23 H 0.335 0.900 0.054
24 H 0.665 0.600 0.554
25 H 0.665 0.100 0.946
26 H 0.335 0.400 0.446
27 H 0.321 0.026 0.141
28 H 0.679 0.474 0.641
29 H 0.679 0.974 0.859
30 H 0.321 0.526 0.359
31 Se 0.728 0.402 0.863
32 Se 0.272 0.098 0.363
33 Se 0.272 0.598 0.137
34 Se 0.728 0.902 0.637
35 O 0.574 0.416 0.757
36 O 0.426 0.084 0.257
37 O 0.426 0.584 0.243
38 O 0.574 0.916 0.743
39 O 0.772 0.556 0.937
40 O 0.228 0.944 0.437
41 O 0.228 0.444 0.063
42 O 0.772 0.056 0.563
43 O 0.588 0.258 0.938
44 O 0.412 0.242 0.438
45 O 0.412 0.742 0.062
46 O 0.588 0.758 0.562
47 O 0.962 0.370 0.821
48 O 0.038 0.130 0.321
49 O 0.038 0.630 0.179
50 O 0.962 0.870 0.679
51 O 0.164 0.156 0.885
52 O 0.836 0.344 0.385
53 O 0.836 0.844 0.115
54 O 0.164 0.656 0.615
55 O 0.025 0.826 0.891
56 O 0.975 0.674 0.391
57 O 0.975 0.174 0.109
58 O 0.025 0.326 0.609
59 O 0.286 0.994 0.064
60 O 0.714 0.506 0.564
61 O 0.714 0.006 0.936
62 O 0.286 0.494 0.436

M_tot ... 6.0 μB per cell
E ... -263.67 eV per formula unit

---

[15]
Computed, not measured: a crystal of CoRe2H8O12 relaxed with PBEsol at the SCAN level of DFT.

Cell lengths 6.825, 6.596, 7.065 Å; angles 63.78, 69.21, 69.67 degrees
Element x y z (fractional)
1 Co 0.500 0.000 0.000
2 Re 0.080 0.331 0.293
3 Re 0.920 0.669 0.707
4 H 0.371 0.686 0.368
5 H 0.709 0.954 0.279
6 H 0.390 0.442 0.726
7 H 0.740 0.187 0.067
8 H 0.260 0.813 0.933
9 H 0.610 0.558 0.274
10 H 0.291 0.046 0.721
11 H 0.629 0.314 0.632
12 O 0.213 0.113 0.183
13 O 0.122 0.596 0.092
14 O 0.181 0.269 0.511
15 O 0.197 0.666 0.615
16 O 0.643 0.078 0.160
17 O 0.484 0.686 0.232
18 O 0.516 0.314 0.768
19 O 0.357 0.922 0.840
20 O 0.803 0.334 0.385
21 O 0.819 0.731 0.489
22 O 0.878 0.404 0.908
23 O 0.787 0.887 0.817

M_tot ... 3.0 μB per cell
E ... -292.06 eV per formula unit